[1]
# PrCoSn

PrCoSn after structural relaxation (GGA-PBE, the Alexandria database).

raw total energy = -5.2823 eV per atom

Lattice parameters (Å, degrees): 12.060 3.719 6.353 90.00 90.00 90.00
Space group Amm2 (No. 38)
Symmetry-distinct sites (fractional):
Pr 0.153 0.000 0.000 x4
Co 0.000 0.000 0.337 x2
Co 0.500 0.000 0.000 x2
Sn 0.372 0.000 0.336 x4

[2]
# PrCo3Sn3

PrCo3Sn3 after structural relaxation (GGA-PBE, the Alexandria database).

raw total energy = -5.1748 eV per atom

Lattice parameters (Å, degrees): 6.885 6.885 6.885 90.00 90.00 90.00
Space group Pm-3n (No. 223)
Symmetry-distinct sites (fractional):
Pr 0.000 0.000 0.000 x2
Co 0.000 0.250 0.500 x6
Sn 0.000 0.500 0.250 x6

[3]
# PrCo4Sn12

PrCo4Sn12 after structural relaxation (GGA-PBE, the Alexandria database).

raw total energy = -4.8911 eV per atom

Lattice parameters (Å, degrees): 9.230 9.230 9.230 90.00 90.00 90.00
Space group Im-3 (No. 204)
Symmetry-distinct sites (fractional):
Pr 0.000 0.000 0.000 x2
Co 0.250 0.250 0.250 x8
Sn 0.000 0.171 0.332 x24

[4]
# PrCoSn3

PrCoSn3 after structural relaxation (GGA-PBE, the Alexandria database).

raw total energy = -5.1636 eV per atom

Lattice parameters (Å, degrees): 4.762 4.817 20.790 90.00 90.00 90.00
Space group Imma (No. 74)
Symmetry-distinct sites (fractional):
Pr 0.000 0.250 0.082 x4
Co 0.000 0.250 0.662 x4
Sn 0.000 0.250 0.304 x4
Sn 0.000 0.250 0.541 x4
Sn 0.000 0.250 0.799 x4

[5]
# Pr12CoSn6

Pr12CoSn6 after structural relaxation (GGA-PBE, the Alexandria database).

raw total energy = -5.0958 eV per atom

Lattice parameters (Å, degrees): 12.4169 12.4169 14.4595 90.00 90.00 120.00
Space group R-3 (No. 148, hexagonal axes)
Symmetry-distinct sites (fractional):
Pr 0.0307 0.1936 0.3897 x18
Pr 0.0343 0.8422 0.8866 x18
Co 0.0000 0.0000 0.0000 x3
Sn 0.0050 0.3905 0.2530 x18

[6]
# PrCoSn

PrCoSn after structural relaxation (GGA-PBE, the Alexandria database).

raw total energy = -5.6189 eV per atom

Lattice parameters (Å, degrees): 4.5205 4.5205 3.9432 90.00 90.00 120.00
Space group P-6m2 (No. 187)
Symmetry-distinct sites (fractional):
Pr 0.0000 0.0000 0.0000 x1
Co 0.6667 0.3333 0.5000 x1
Sn 0.3333 0.6667 0.5000 x1

Which formula does entry 1 have?
PrCoSn

Please write out number 1 again, unchanged.
# PrCoSn

PrCoSn after structural relaxation (GGA-PBE, the Alexandria database).

raw total energy = -5.2823 eV per atom

Lattice parameters (Å, degrees): 12.060 3.719 6.353 90.00 90.00 90.00
Space group Amm2 (No. 38)
Symmetry-distinct sites (fractional):
Pr 0.153 0.000 0.000 x4
Co 0.000 0.000 0.337 x2
Co 0.500 0.000 0.000 x2
Sn 0.372 0.000 0.336 x4